1.
Material: Li2PdCl5
Method: DFT, PBE
State: relaxed

## Properties
Symmetry: Cmcm
ρ (g/cm3): 2.6
Formation energy (no corrections) (eV/atom): -1.10

abc: 6.8866 6.8866 11.4318
angles: 90.00 90.00 136.48
Atoms (fractional coordinates):
Li 0.1762 0.8238 0.5646
Li 0.1762 0.8238 0.9354
Li 0.8238 0.1762 0.0646
Li 0.8238 0.1762 0.4354
Pd 0.1978 0.8022 0.2500
Pd 0.8022 0.1978 0.7500
Cl 0.0673 0.9327 0.1083
Cl 0.0673 0.9327 0.3917
Cl 0.2883 0.7117 0.7500
Cl 0.3236 0.6764 0.0965
Cl 0.3236 0.6764 0.4035
Cl 0.6764 0.3236 0.5965
Cl 0.6764 0.3236 0.9035
Cl 0.7117 0.2883 0.2500
Cl 0.9327 0.0673 0.6083
Cl 0.9327 0.0673 0.8917


2.
Material: TlIn2HgPd
Method: DFT, PBE
State: relaxed

## Properties
Symmetry: P4/mmm
ρ (g/cm3): 8.6
ΔE_f (meV/atom): -77

abc: 5.1890 5.1890 5.3355
angles: 90.00 90.00 90.00
Atoms (fractional coordinates):
Tl 0.0000 0.0000 0.0000
In 0.0000 0.5000 0.5000
In 0.5000 0.0000 0.5000
Hg 0.5000 0.5000 0.0000
Pd 0.5000 0.5000 0.5000


3.
Material: Tl3Cu2BiCl9
Method: DFT, PBE
State: relaxed

## Properties
Symmetry: P-3m1
ρ (g/cm3): 5.2
Formation energy (no corrections) (eV/atom): -0.82

abc: 7.1806 7.1806 9.0133
angles: 90.00 90.00 120.00
Atoms (fractional coordinates):
Tl 0.0000 0.0000 0.0000
Tl 0.3333 0.6667 0.7182
Tl 0.6667 0.3333 0.2818
Cu 0.3333 0.6667 0.1480
Cu 0.6667 0.3333 0.8520
Bi 0.0000 0.0000 0.5000
Cl 0.0000 0.5000 0.0000
Cl 0.1728 0.3456 0.3171
Cl 0.1728 0.8272 0.3171
Cl 0.3456 0.1728 0.6829
Cl 0.5000 0.0000 0.0000
Cl 0.5000 0.5000 0.0000
Cl 0.6544 0.8272 0.3171
Cl 0.8272 0.1728 0.6829
Cl 0.8272 0.6544 0.6829


Question: The lowest ρ belongs to which entry?
Answer: Li2PdCl5


Question: Number 2 is which compound?
Answer: TlIn2HgPd


Question: Among the records above, which one has the highest ρ?
Answer: TlIn2HgPd


Question: Which value of ρ does entry 2 give?
Answer: 8.6 g/cm3